First-principles (GGA-PBE) data for crystalline HoCdPb2 at its relaxed geometry, as listed in the Alexandria database.

For the magnetization, the calculation gives 0.00 Bohr magnetons per cell. The density is 10.73 g/cm³. The formation energy from the elements is -1.151 eV per formula unit. The polymorph energy (0 for the lowest one) comes out at 0 meV/atom. The calculation puts the total energy at -14.1 eV per cell.

The structure belongs to space group P4/mmm (No. 123); the cell edges are 4.8777, 4.8777 and 4.4977 Å and the angles 90.00°, 90.00° and 90.00°. The inequivalent atoms are Ho at (0.0000, 0.0000, 0.0000), Cd at (0.5000, 0.5000, 0.0000) and Pb at (0.0000, 0.5000, 0.5000).